No. 1
Compound: SrIn2
Source: Alexandria via LeMat-Bulk
Functional: meta-GGA SCAN
Structure: PBEsol geometry

Cell and atoms, written as extended XYZ:
```
6
Lattice="-1.967 -4.559 -0.512 4.323 1.118 -2.231 3.938 -2.420 6.418" Properties=species:S:1:pos:R:3 pbc="T T T"
Sr 2.953 -1.815 4.813
Sr 0.984 -0.605 1.604
In 4.374 -2.094 1.842
In 0.308 -2.776 -0.794
In 1.920 -3.767 1.832
In 5.985 -3.085 4.468
```

ΔH_f (0 K) (kJ/mol of atoms): -62
Total moment (μB per formula unit): 0.00
Crystal system: hexagonal
Symmetry: No. 194


No. 2
Compound: Sr11In7
Source: Alexandria via LeMat-Bulk
Functional: meta-GGA SCAN
Structure: PBEsol geometry

Cell and atoms, written as extended XYZ:
```
36
Lattice="-10.858 -1.332 5.828 -0.260 -2.159 12.203 -3.985 8.799 7.767" Properties=species:S:1:pos:R:3 pbc="T T T"
In -2.060 1.971 6.600
In -4.627 2.171 5.056
In -3.725 -0.483 6.130
In -4.690 1.648 8.012
In -10.476 3.137 20.742
In -13.043 3.337 19.198
In -11.378 5.791 19.667
In -10.413 3.660 17.786
In -9.402 0.423 8.941
In -5.701 4.885 16.857
In -11.633 5.348 13.289
In -3.470 -0.040 12.509
In -9.548 -0.786 15.771
In -5.555 6.094 10.026
Sr -7.552 2.654 12.899
Sr 0.000 0.000 0.000
Sr -7.198 0.042 6.149
Sr -2.077 -0.357 9.229
Sr -3.877 4.938 7.086
Sr -1.951 0.686 3.333
Sr -13.026 5.665 16.568
Sr -7.905 5.266 19.648
Sr -11.226 0.371 18.712
Sr -13.152 4.622 22.465
Sr -3.913 3.100 10.946
Sr -8.800 6.326 11.412
Sr -6.303 -1.018 14.385
Sr -11.190 2.208 14.852
Sr -5.249 6.049 13.549
Sr -7.639 1.931 16.988
Sr -7.464 3.378 8.810
Sr -9.855 -0.741 12.249
Sr -4.000 2.377 15.035
Sr -6.216 -0.295 10.296
Sr -8.887 5.603 15.502
Sr -11.103 2.931 10.763
```

ΔH_f (0 K) (kJ/mol of atoms): -46
Total moment (μB per formula unit): 0.00
Crystal system: cubic
Symmetry: No. 225


No. 3
Compound: SrTaIn
Source: Alexandria via LeMat-Bulk
Functional: meta-GGA SCAN
Structure: PBEsol geometry

Cell and atoms, written as extended XYZ:
```
3
Lattice="-0.626 3.051 0.813 -0.421 -0.975 -3.039 -7.582 -2.006 1.693" Properties=species:S:1:pos:R:3 pbc="T T T"
In -0.175 -0.046 0.039
Sr -5.555 0.387 0.645
Ta -2.898 -0.270 -1.217
```

ΔH_f (0 K) (kJ/mol of atoms): 59
Total moment (μB per formula unit): 0.00
Crystal system: trigonal
Polymorph energy (0 for the lowest one) (meV per atom): 202
Symmetry: No. 156


No. 4
Compound: Sr2TaIn
Source: Alexandria via LeMat-Bulk
Functional: meta-GGA SCAN
Structure: PBEsol geometry

Cell and atoms, written as extended XYZ:
```
4
Lattice="4.593 0.000 0.000 0.000 4.593 0.000 0.000 0.000 5.082" Properties=species:S:1:pos:R:3 pbc="T T T"
In 0.000 0.000 2.541
Sr 0.000 2.297 0.000
Sr 2.297 0.000 0.000
Ta 2.297 2.297 2.541
```

ΔH_f (0 K) (kJ/mol of atoms): 59
Total moment (μB per formula unit): 1.67
Crystal system: tetragonal
Symmetry: No. 123